[1]
Entry from Alexandria: In3GeCl after structural relaxation (PBE-GGA).

The energy relative to the elements, uncorrected comes out at 0.37 eV/atom. Its crystal system is cubic. As for the calculated volume: 34.04 A^3/atom. The value obtained for the polymorph energy (0 for the lowest one) is 297.8 meV per atom.

The space group is Pm-3m (No. 221) and the conventional cell measures 5.542, 5.542 and 5.542 Å, with angles of 90.00, 90.00 and 90.00 degrees. The distinct sites, in fractional coordinates, are In at (0.000, 0.000, 0.500), Ge at (0.500, 0.500, 0.500) and Cl at (0.000, 0.000, 0.000).

[2]
Entry from Alexandria: In3GeCl6 after structural relaxation (PBE-GGA).

The energy relative to the elements, uncorrected comes out at -0.81 eV/atom. Its crystal system is orthorhombic. As for the calculated volume: 34.27 A^3/atom.

The space group is Cmc2_1 (No. 36) and the conventional cell measures 11.774, 14.993 and 7.765 Å, with angles of 90.00, 90.00 and 90.00 degrees. The distinct sites, in fractional coordinates, are In at (0.000, 0.068, 0.000), In at (0.186, 0.376, 0.053), Ge at (0.000, 0.352, 0.548), Cl at (0.000, 0.239, 0.921), Cl at (0.000, 0.473, 0.341), Cl at (0.143, 0.007, 0.264) and Cl at (0.151, 0.275, 0.413).